A plane-wave DFT calculation with SCAN was carried out for a crystal of LaMg2Tl relaxed with PBEsol.

Results
The energy of formation comes out at -0.09 eV per atom. The excess energy over the best structure of this formula in the dataset comes out at 0.240 eV per atom. The magnetization is 0.0 μB per cell.

Geometry as CIF:
```
data_LaMg2Tl
_cell_length_a 6.7110
_cell_length_b 9.2472
_cell_length_c 3.5527
_cell_angle_alpha 90.00
_cell_angle_beta 90.00
_cell_angle_gamma 90.00
_symmetry_space_group_name_H-M 'C m m m'
_symmetry_Int_Tables_number 65
_symmetry_space_group_name_Hall '-C 2 2'
loop_
_atom_site_label
_atom_site_type_symbol
_atom_site_fract_x
_atom_site_fract_y
_atom_site_fract_z
_atom_site_occupancy
La1 La 0.0000 0.0000 0.0000 1
Mg1 Mg 0.2500 0.2500 0.5000 1
Tl1 Tl 0.0000 0.5000 0.0000 1
```